(1)
This record from the Alexandria database describes CePm3Hg6 after structural relaxation. The functional is PBE.

Structure (POSCAR):
```
CePm3Hg6
1.0
5.259 0.000 0.000
0.000 9.027 -2.832
0.000 0.094 11.380
Hg Ce Pm
12 2 6
direct
0.750 0.349 0.294
0.750 0.861 0.796
0.250 0.463 0.091
0.250 0.651 0.706
0.750 0.759 0.488
0.250 0.139 0.204
0.250 0.834 0.314
0.750 0.166 0.686
0.750 0.537 0.909
0.250 0.241 0.512
0.750 0.938 0.096
0.250 0.062 0.904
0.250 0.936 0.616
0.750 0.064 0.384
0.750 0.647 0.202
0.250 0.773 0.994
0.750 0.492 0.614
0.750 0.227 0.006
0.250 0.508 0.386
0.250 0.353 0.798
```

## Properties
* formation energy from the elements: -0.401 eV/atom
* energy: -2.600 eV/atom
* space group: P2_1/m
* D(E_F): 28.22 states/eV per cell



(2)
This record from the Alexandria database describes CePm2Hg after structural relaxation. The functional is PBE.

Structure (POSCAR):
```
CePm2Hg
1.0
-0.376 -0.812 -5.356
-3.767 -3.375 -1.977
-4.241 1.978 -2.755
Hg Pm Ce
1 2 1
direct
0.500 0.500 0.500
0.250 0.250 0.250
0.750 0.750 0.750
0.000 0.000 0.000
```

## Properties
* formation energy from the elements: -0.011 eV/atom
* energy: -3.945 eV/atom
* space group: Fm-3m
* D(E_F): 8.33 states/eV per cell



(3)
This record from the Alexandria database describes CePm2Hg after structural relaxation. The functional is PBE.

Structure (POSCAR):
```
CePm2Hg
1.0
-2.922 -0.406 1.756
-0.340 -2.629 2.182
3.247 5.702 10.079
Pm Hg Ce
2 1 1
direct
0.907 0.907 0.280
0.093 0.093 0.720
0.500 0.500 0.500
0.000 0.000 0.000
```

## Properties
* formation energy from the elements: 0.083 eV/atom
* energy: -3.851 eV/atom
* space group: R-3m
* D(E_F): 7.24 states/eV per cell



(4)
This record from the Alexandria database describes CePmHg4 after structural relaxation. The functional is PBE.

Structure (POSCAR):
```
CePmHg4
1.0
-3.357 1.801 -1.315
-0.921 -4.093 -3.257
-2.254 -4.291 6.031
Hg Pm Ce
4 1 1
direct
0.187 0.997 0.120
0.318 0.497 0.380
0.520 0.997 0.789
0.981 0.497 0.704
0.855 0.997 0.458
0.647 0.497 0.038
```

## Properties
* formation energy from the elements: -0.357 eV/atom
* energy: -2.339 eV/atom
* space group: Pm
* D(E_F): 9.09 states/eV per cell



(5)
This record from the Alexandria database describes CePm3Hg5 after structural relaxation. The functional is PBE.

Structure (POSCAR):
```
CePm3Hg5
1.0
6.497 0.000 0.000
0.000 8.117 -4.687
0.000 0.000 9.373
Ce Hg Pm
2 10 6
direct
0.500 0.000 0.000
0.000 0.000 0.000
0.500 0.333 0.667
0.000 0.667 0.333
0.250 0.303 0.303
0.750 0.303 0.000
0.000 0.333 0.667
0.500 0.667 0.333
0.250 0.000 0.697
0.750 0.697 0.697
0.250 0.697 0.000
0.750 0.000 0.303
0.250 0.000 0.368
0.250 0.368 0.000
0.750 0.000 0.632
0.750 0.632 0.000
0.250 0.632 0.632
0.750 0.368 0.368
```

## Properties
* formation energy from the elements: -0.390 eV/atom
* energy: -2.800 eV/atom
* space group: P6_3/mcm
* D(E_F): 24.19 states/eV per cell



(6)
This record from the Alexandria database describes CePm4Hg3 after structural relaxation. The functional is PBE.

Structure (POSCAR):
```
CePm4Hg3
1.0
-3.478 0.917 -1.033
-1.381 -2.389 2.528
-0.173 11.916 11.163
Hg Pm Ce
3 4 1
direct
0.500 0.500 0.742
0.500 0.500 0.500
0.500 0.500 0.258
0.000 0.000 0.141
0.000 0.000 0.381
0.000 0.000 0.619
0.000 0.000 0.859
0.500 0.500 0.000
```

## Properties
* formation energy from the elements: -0.331 eV/atom
* energy: -3.561 eV/atom
* space group: P4/mmm
* D(E_F): 9.71 states/eV per cell



(7)
This record from the Alexandria database describes CePmHg after structural relaxation. The functional is PBE.

Structure (POSCAR):
```
CePmHg
1.0
-5.532 -1.980 -0.108
1.117 -3.084 -0.663
2.657 0.796 9.218
Hg Ce Pm
2 2 2
direct
0.156 0.656 0.313
0.844 0.344 0.687
0.278 0.500 0.000
0.722 0.500 0.000
0.332 0.832 0.664
0.668 0.168 0.336
```

## Properties
* formation energy from the elements: -0.057 eV/atom
* energy: -3.719 eV/atom
* space group: Immm
* D(E_F): 10.29 states/eV per cell



(8)
This record from the Alexandria database describes CePm4Hg4 after structural relaxation. The functional is PBE.

Structure (POSCAR):
```
CePm4Hg4
1.0
-2.110 4.688 2.730
-8.621 -3.981 0.172
2.006 -3.981 8.387
Hg Pm Ce
8 8 2
direct
0.597 0.897 0.206
0.597 0.103 0.794
0.903 0.397 0.706
0.097 0.294 0.397
0.403 0.794 0.897
0.403 0.206 0.103
0.903 0.603 0.294
0.097 0.706 0.603
0.597 0.840 0.583
0.097 0.083 0.660
0.097 0.917 0.340
0.403 0.583 0.160
0.903 0.660 0.917
0.403 0.417 0.840
0.597 0.160 0.417
0.903 0.340 0.083
0.500 0.500 0.500
0.000 0.000 0.000
```

## Properties
* formation energy from the elements: -0.217 eV/atom
* energy: -3.121 eV/atom
* space group: P4_2/n
* D(E_F): 27.97 states/eV per cell



(9)
This record from the Alexandria database describes Ce2PmHg after structural relaxation. The functional is PBE.

Structure (POSCAR):
```
Ce2PmHg
1.0
-1.227 0.092 -3.247
1.036 -3.279 -0.484
-8.666 -3.208 3.183
Ce Pm Hg
2 1 1
direct
0.000 0.000 0.229
0.000 0.000 0.771
0.500 0.500 0.500
0.500 0.500 0.000
```

## Properties
* formation energy from the elements: -0.058 eV/atom
* energy: -4.288 eV/atom
* space group: P4/mmm
* D(E_F): 12.03 states/eV per cell



(10)
This record from the Alexandria database describes Ce3PmHg3 after structural relaxation. The functional is PBE.

Structure (POSCAR):
```
Ce3PmHg3
1.0
4.886 0.000 0.000
0.000 9.519 0.000
0.000 -4.760 8.244
Ce Hg Pm
6 6 2
direct
0.750 0.995 0.774
0.250 0.774 0.779
0.750 0.226 0.221
0.750 0.779 0.005
0.250 0.221 0.995
0.250 0.005 0.226
0.250 0.069 0.608
0.250 0.538 0.931
0.750 0.608 0.538
0.750 0.931 0.392
0.250 0.392 0.462
0.750 0.462 0.069
0.750 0.333 0.667
0.250 0.667 0.333
```

## Properties
* formation energy from the elements: -0.190 eV/atom
* energy: -3.541 eV/atom
* space group: P6_3/m
* D(E_F): 37.34 states/eV per cell



(11)
This record from the Alexandria database describes CePm2Hg6 after structural relaxation. The functional is PBE.

Structure (POSCAR):
```
CePm2Hg6
1.0
-0.666 -0.925 3.323
7.539 -4.548 2.102
6.980 3.816 4.319
Pm Hg Ce
2 6 1
direct
0.351 0.149 0.149
0.649 0.851 0.851
0.830 0.843 0.498
0.000 0.172 0.828
0.170 0.502 0.157
0.000 0.828 0.172
0.830 0.498 0.843
0.170 0.157 0.502
0.500 0.500 0.500
```

## Properties
* formation energy from the elements: -0.356 eV/atom
* energy: -2.273 eV/atom
* space group: Immm
* D(E_F): 9.81 states/eV per cell



(12)
This record from the Alexandria database describes CePmHg4 after structural relaxation. The functional is PBE.

Structure (POSCAR):
```
CePmHg4
1.0
6.025 0.000 0.000
3.013 5.218 0.000
3.013 1.739 4.920
Hg Ce Pm
4 1 1
direct
0.125 0.625 0.625
0.625 0.625 0.125
0.625 0.125 0.625
0.625 0.625 0.625
0.000 0.000 0.000
0.250 0.250 0.250
```

## Properties
* formation energy from the elements: -0.225 eV/atom
* energy: -2.207 eV/atom
* space group: F-43m
* D(E_F): 9.56 states/eV per cell



Which of these has the lowest D(E_F)?
number 3